(w)
A relaxed structure of ZrHgCl2, computed with PBE-GGA.

Cell: 3.223 3.223 9.923 Å, 90.00 90.00 90.00°
Sites, in units of the cell vectors:
1 Cl 0.000 0.000 0.905
2 Cl 0.000 0.000 0.595
3 Hg 0.500 0.500 0.250
4 Zr 0.500 0.500 0.750

## Properties
As for the density of states at the Fermi level: 1.1 states/eV/cell. The density is 5.84 g/cm3.



(x)
A relaxed structure of ZrHgCl2, computed with PBE-GGA.

Cell: 7.018 7.018 6.959 Å, 50.41 50.41 27.11°
Sites, in units of the cell vectors:
1 Zr 0.290 0.290 0.045
2 Cl 0.746 0.746 0.827
3 Cl 0.907 0.907 0.117
4 Hg 0.557 0.557 0.510

## Properties
As for the density of states at the Fermi level: 1.8 states/eV/cell. The density is 5.11 g/cm3.



(y)
A relaxed structure of ZrHgCl2, computed with PBE-GGA.

Cell: 3.381 5.487 4.632 Å, 90.00 90.00 90.00°
Sites, in units of the cell vectors:
1 Cl 0.500 0.500 0.000
2 Cl 0.000 0.000 0.000
3 Zr 0.000 0.500 0.500
4 Hg 0.500 0.000 0.500

## Properties
As for the density of states at the Fermi level: 2.3 states/eV/cell. The density is 7.01 g/cm3.



Stability ranking, top entry: (x); the second entry is 12 meV/atom less favorable.